# 1
VASP calculation (GGA-PBEsol) on a relaxed HfReMo2 crystal.

Unit cell a=6.335 b=6.335 c=6.335 alpha=90.00 beta=90.00 gamma=90.00
Space group Fm-3m (No. 225)
Asymmetric unit:
Hf1 0.000 0.000 0.000 (multiplicity 4)
Re1 0.000 0.000 0.500 (multiplicity 4)
Mo1 0.250 0.250 0.250 (multiplicity 8)

Properties
Mass density   14.5 Mg/m³
Fermi-level density of states   0.4407 states/eV/atom
Calculated formation energy   -0.13 eV/atom

***

# 2
VASP calculation (GGA-PBEsol) on a relaxed Hf2MoRh crystal.

Unit cell a=6.467 b=6.467 c=6.467 alpha=90.00 beta=90.00 gamma=90.00
Space group Fm-3m (No. 225)
Asymmetric unit:
Hf1 0.250 0.250 0.250 (multiplicity 8)
Mo1 0.000 0.000 0.000 (multiplicity 4)
Rh1 0.000 0.000 0.500 (multiplicity 4)

Properties
Mass density   13.7 Mg/m³
Fermi-level density of states   0.9106 states/eV/atom
Calculated formation energy   -0.52 eV/atom

***

# 3
VASP calculation (GGA-PBEsol) on a relaxed Hf9Mo4S crystal.

Unit cell a=8.5453 b=8.5453 c=8.4523 alpha=90.00 beta=90.00 gamma=120.00
Space group P6_3/mmc (No. 194)
Asymmetric unit:
Hf1 0.0824 0.5412 0.2500 (multiplicity 6)
Hf2 0.1979 0.3957 0.5492 (multiplicity 12)
Mo1 0.0000 0.0000 0.0000 (multiplicity 2)
Mo2 0.1103 0.2206 0.2500 (multiplicity 6)
S1 0.3333 0.6667 0.7500 (multiplicity 2)

Properties
Mass density   12.6 Mg/m³
Formation energy (no corrections)   -0.309 eV/atom
Fermi-level density of states   0.8068 states/eV/atom

***

no.,energy (eV for the cell shown)
1,-191.5
2,-172.0
3,-300.6